Entry 1:
17
Lattice="-4.1818 4.1818 4.1818 4.1818 -4.1818 4.1818 4.1818 4.1818 -4.1818" Properties=species:S:1:pos:R:3 comment="Pu4Ge6Ru7 (GGA-PBE, optimized geometry)" energy_ev_per_cell=-157.99 pbc="T T T"
Pu 2.0909 2.0909 -2.0909
Pu 2.0909 -2.0909 2.0909
Pu -2.0909 2.0909 2.0909
Pu 2.0909 2.0909 2.0909
Ge 2.5986 0.0000 0.0000
Ge 5.7650 0.0000 0.0000
Ge 0.0000 2.5986 0.0000
Ge 0.0000 0.0000 2.5986
Ge 0.0000 5.7650 0.0000
Ge 0.0000 0.0000 5.7650
Ru 0.0000 0.0000 0.0000
Ru 4.1818 2.0909 0.0000
Ru 4.1818 0.0000 2.0909
Ru 2.0909 4.1818 0.0000
Ru 2.0909 0.0000 4.1818
Ru 0.0000 4.1818 2.0909
Ru 0.0000 2.0909 4.1818

=====

Entry 2:
24
Lattice="11.6575 0.0000 0.0000 0.0000 4.5553 0.0000 0.0000 0.0000 9.0862" Properties=species:S:1:pos:R:3 comment="Pu3Ge2Ru (GGA-PBE, optimized geometry)" energy_ev_per_cell=-255.40 pbc="T T T"
Pu 0.6506 1.1388 0.8788
Pu 1.8720 3.4165 5.4894
Pu 2.8585 1.1388 6.8490
Pu 2.9702 3.4165 2.3059
Pu 3.9568 1.1388 0.9463
Pu 5.1781 3.4165 5.4219
Pu 6.4794 1.1388 3.6643
Pu 7.7007 3.4165 8.1399
Pu 8.6873 1.1388 6.7803
Pu 8.7990 3.4165 2.2372
Pu 9.7855 1.1388 3.5968
Pu 11.0069 3.4165 8.2074
Ge 0.0868 3.4165 2.8171
Ge 2.3095 3.4165 8.5790
Ge 3.5193 1.1388 4.0359
Ge 5.7420 1.1388 7.3602
Ge 5.9155 3.4165 1.7260
Ge 8.1382 3.4165 5.0503
Ge 9.3480 1.1388 0.5072
Ge 11.5707 1.1388 6.2691
Ru 0.9237 1.1388 3.8904
Ru 4.9050 3.4165 8.4335
Ru 6.7525 1.1388 0.6528
Ru 10.7338 3.4165 5.1959

=====

Entry 3:
4
Lattice="0.0000 3.3856 3.3856 3.3856 0.0000 3.3856 3.3856 3.3856 0.0000" Properties=species:S:1:pos:R:3 comment="PuScGeRu (GGA-PBE, optimized geometry)" energy_ev_per_cell=-35.86 pbc="T T T"
Pu 0.0000 0.0000 0.0000
Sc 3.3856 3.3856 3.3856
Ge 1.6928 1.6928 1.6928
Ru 5.0784 5.0784 5.0784

=====

Entry 4:
20
Lattice="10.2802 0.0000 0.0000 0.0000 10.2802 0.0000 0.0000 0.0000 3.2536" Properties=species:S:1:pos:R:3 comment="Pu2TaGe2Ru5 (GGA-PBE, optimized geometry)" energy_ev_per_cell=-197.65 pbc="T T T"
Pu 1.7728 3.3673 0.0000
Pu 3.3673 8.5074 0.0000
Pu 6.9129 1.7728 0.0000
Pu 8.5074 6.9129 0.0000
Ta 0.0000 0.0000 0.0000
Ta 5.1401 5.1401 0.0000
Ge 1.3214 6.4615 0.0000
Ge 3.8187 1.3214 0.0000
Ge 6.4615 8.9588 0.0000
Ge 8.9588 3.8187 0.0000
Ru 0.0000 5.1401 1.6268
Ru 0.6269 8.2048 1.6268
Ru 2.0754 0.6269 1.6268
Ru 3.0647 5.7670 1.6268
Ru 4.5132 3.0647 1.6268
Ru 5.1401 0.0000 1.6268
Ru 5.7670 7.2155 1.6268
Ru 7.2155 4.5132 1.6268
Ru 8.2048 9.6533 1.6268
Ru 9.6533 2.0754 1.6268

=====

Entry 5:
4
Lattice="0.0000 3.4908 3.4908 3.4908 0.0000 3.4908 3.4908 3.4908 0.0000" Properties=species:S:1:pos:R:3 comment="TbPuGeRu (GGA-PBE, optimized geometry)" energy_ev_per_cell=-33.96 pbc="T T T"
Tb 0.0000 0.0000 0.0000
Pu 3.4908 3.4908 3.4908
Ge 1.7454 1.7454 1.7454
Ru 5.2361 5.2361 5.2361

=====

Entry 6:
5
Lattice="-2.1100 2.1100 5.1300 2.1100 -2.1100 5.1300 2.1100 2.1100 -5.1300" Properties=species:S:1:pos:R:3 comment="PuTcGe2Ru (GGA-PBE, optimized geometry)" energy_ev_per_cell=-44.92 pbc="T T T"
Pu 0.0000 0.0000 0.0000
Tc 0.0000 2.1100 2.5650
Ge 0.0000 0.0000 3.8488
Ge 0.0000 0.0000 6.4113
Ru 2.1100 0.0000 2.5650

=====

Entry 7:
4
Lattice="0.0000 3.4897 3.4897 3.4897 0.0000 3.4897 3.4897 3.4897 0.0000" Properties=species:S:1:pos:R:3 comment="YPuGeRu (GGA-PBE, optimized geometry)" energy_ev_per_cell=-35.81 pbc="T T T"
Y 0.0000 0.0000 0.0000
Pu 3.4897 3.4897 3.4897
Ge 1.7448 1.7448 1.7448
Ru 5.2345 5.2345 5.2345

=====

Entry 8:
10
Lattice="2.1939 -8.2714 0.0000 2.1939 8.2714 0.0000 0.0000 0.0000 5.0577" Properties=species:S:1:pos:R:3 comment="Pu2ZnGeRu (GGA-PBE, optimized geometry)" energy_ev_per_cell=-88.24 pbc="T T T"
Pu 2.1939 7.4948 3.7933
Pu 2.1939 2.3969 1.2644
Pu 2.1939 -2.3969 3.7933
Pu 2.1939 -7.4948 1.2644
Zn 2.1939 5.8112 1.2644
Zn 2.1939 -5.8112 3.7933
Ge 2.1939 3.9452 3.7933
Ge 2.1939 -3.9452 1.2644
Ru 2.1939 0.7647 3.7933
Ru 2.1939 -0.7647 1.2644

=====

Entry 9:
10
Lattice="-4.4866 4.4866 2.8362 4.4866 -4.4866 2.8362 4.4866 4.4866 -2.8362" Properties=species:S:1:pos:R:3 comment="Pu5GeS4 (GGA-PBE, optimized geometry)" raw_formation_energy_ev_per_atom=-1.463 pbc="T T T"
Pu 0.0000 0.0000 0.0000
Pu 3.5537 1.7284 0.0000
Pu 2.7582 -0.9328 2.8362
Pu 1.7284 5.4194 0.0000
Pu 0.9328 2.7582 2.8362
Ge 0.0000 0.0000 2.8362
S 6.2753 0.9226 0.0000
S 0.9226 2.6978 0.0000
S 3.5639 1.7888 2.8362
S -1.7888 3.5639 2.8362

=====

Entry 10:
4
Lattice="1.8310 1.0571 8.2475 -1.8310 1.0571 8.2475 0.0000 -2.1143 8.2475" Properties=species:S:1:pos:R:3 comment="PuGeS2 (GGA-PBE, optimized geometry)" raw_formation_energy_ev_per_atom=-0.290 pbc="T T T"
Pu 0.0000 0.0000 0.0000
Ge 0.0000 0.0000 12.3712
S 0.0000 0.0000 2.6484
S 0.0000 0.0000 22.0940

=====

Entry 11:
15
Lattice="4.5811 2.6449 5.4765 -4.5811 2.6449 5.4765 0.0000 -5.2899 5.4765" Properties=species:S:1:pos:R:3 comment="PuGe6S8 (GGA-PBE, optimized geometry)" raw_formation_energy_ev_per_atom=-0.419 pbc="T T T"
Pu 0.0000 0.0000 0.0000
Ge -2.1634 0.0560 6.0638
Ge 1.0332 -1.9016 6.0638
Ge -1.1302 -1.8455 10.3657
Ge 1.1302 1.8455 6.0638
Ge -1.0332 1.9016 10.3657
Ge 2.1634 -0.0560 10.3657
S -0.9459 -3.1288 6.8086
S -3.1826 -0.7453 9.6209
S 0.0000 0.0000 4.8744
S -2.2367 2.3835 6.8086
S 2.2367 -2.3835 9.6209
S 0.0000 0.0000 11.5551
S 3.1826 0.7453 6.8086
S 0.9459 3.1288 9.6209

=====

Entry 12:
12
Lattice="3.4679 -6.0087 0.0000 3.4679 6.0087 0.0000 -2.3151 0.0000 6.5423" Properties=species:S:1:pos:R:3 comment="Pu6GeS5 (GGA-PBE, optimized geometry)" raw_formation_energy_ev_per_atom=-1.511 pbc="T T T"
Pu -0.0311 2.0529 4.8817
Pu 1.0986 0.0000 1.6604
Pu -0.0311 -2.0529 4.8817
Pu 4.6519 2.0529 1.6606
Pu 3.5221 0.0000 4.8819
Pu 4.6519 -2.0529 1.6606
Ge 3.4679 0.0000 0.0000
S -1.1575 0.0000 3.2711
S 3.4679 4.0041 0.0000
S 2.3104 1.9672 3.2711
S 2.3104 -1.9672 3.2711
S 3.4679 -4.0041 0.0000